Density functional theory data (PBE) for a relaxed structure of Pm14NdDy.

Cell: 7.2954 7.2954 10.2941 Å, 90.00 90.00 89.99°
Fractional coordinates of all 16 atoms:
Pm1 0.6258 0.8759 0.2494
Pm2 0.8747 0.1253 0.5000
Pm3 0.8746 0.6246 0.0000
Pm4 0.1241 0.8759 0.2493
Pm5 0.3754 0.6246 0.5000
Pm6 0.6259 0.3741 0.7506
Pm7 0.6259 0.3741 0.2494
Pm8 0.3754 0.1254 0.0000
Pm9 0.3746 0.1246 0.5000
Pm10 0.8754 0.6254 0.5000
Pm11 0.1241 0.3742 0.2494
Pm12 0.1241 0.8759 0.7507
Pm13 0.6258 0.8759 0.7506
Pm14 0.1241 0.3742 0.7506
Dy1 0.8753 0.1247 0.0000
Nd1 0.3747 0.6253 0.0000

calculated formation energy: 0.01 eV/atom
magnetic moment: 0.000 μB/f.u.